Record 1
ZrCu2W: optimized geometry, GGA-PBE.

- energy of formation from the pure elements (kJ per mole of atoms) = 32
- ΔE to the lowest computed polymorph (eV/atom) = 0.167
- density of states at the Fermi level (states/eV/f.u.) = 3.86
- energy (eV/atom) = -7.091

abc: 4.8655 4.8655 5.1809
angles: 97.97 97.97 32.06
Last column: nearest neighbours and their distance in Å.
Sites, in units of the cell vectors:
1 Zr 0.0000 0.0000 0.0000  2 Zr 2.69, 6 Cu 2.89-2.95, 4 W 2.92
2 Cu 0.2437 0.2437 0.7142  4 Cu 2.61-2.69, 3 W 2.74-2.78, 1 Zr 2.89
3 Cu 0.7563 0.7563 0.2858  4 Cu 2.61-2.69, 3 W 2.74-2.78, 1 Zr 2.89
4 W 0.5000 0.5000 0.5000  2 W 2.69, 6 Cu 2.74-2.78, 4 Zr 2.92

---

Record 2
Zr3CuW: optimized geometry, GGA-PBE.

- energy of formation from the pure elements (kJ per mole of atoms) = 101
- ΔE to the lowest computed polymorph (eV/atom) = 0.058
- density of states at the Fermi level (states/eV/f.u.) = 5.25
- energy (eV/atom) = -7.491

abc: 5.0792 5.0792 5.0792
angles: 90.00 90.00 90.00
Last column: nearest neighbours and their distance in Å.
Sites, in units of the cell vectors:
1 Zr 0.0000 0.0000 0.5000  2 W 2.54
2 Zr 0.0000 0.5000 0.0000  2 W 2.54
3 Zr 0.5000 0.0000 0.0000  2 W 2.54
4 Cu 0.5000 0.5000 0.5000  12 Zr 3.59
5 W 0.0000 0.0000 0.0000  6 Zr 2.54

---

Record 3
ZrCu2W: optimized geometry, GGA-PBE.

- energy of formation from the pure elements (kJ per mole of atoms) = 19
- ΔE to the lowest computed polymorph (eV/atom) = 0.034
- density of states at the Fermi level (states/eV/f.u.) = 3.41
- energy (eV/atom) = -7.224

abc: 4.8343 4.8343 2.7573
angles: 90.00 90.00 106.89
Last column: nearest neighbours and their distance in Å.
Sites, in units of the cell vectors:
1 Zr 0.0000 0.0000 0.0000  2 Zr 2.76, 8 Cu 2.78, 2 W 2.88
2 Cu 0.0000 0.5000 0.5000  4 Cu 2.76-2.88, 4 W 2.78, 4 Zr 2.78
3 Cu 0.5000 0.0000 0.5000  4 Cu 2.76-2.88, 4 W 2.78, 4 Zr 2.78
4 W 0.5000 0.5000 0.0000  2 W 2.76, 8 Cu 2.78, 2 Zr 2.88

---

Record 4
ZrCuW3: optimized geometry, GGA-PBE.

- energy of formation from the pure elements (kJ per mole of atoms) = 264
- ΔE to the lowest computed polymorph (eV/atom) = 1.245
- density of states at the Fermi level (states/eV/f.u.) = 5.77
- energy (eV/atom) = -7.566

abc: 4.8010 4.8010 4.8010
angles: 90.00 90.00 90.00
Last column: nearest neighbours and their distance in Å.
Sites, in units of the cell vectors:
1 Zr 0.0000 0.0000 0.0000  6 W 2.40
2 Cu 0.5000 0.5000 0.5000  12 W 3.39
3 W 0.0000 0.0000 0.5000  2 Zr 2.40
4 W 0.0000 0.5000 0.0000  2 Zr 2.40
5 W 0.5000 0.0000 0.0000  2 Zr 2.40

---

Record 5
Zr2Cu2W: optimized geometry, GGA-PBE.

- energy of formation from the pure elements (kJ per mole of atoms) = 14
- density of states at the Fermi level (states/eV/f.u.) = 6.52
- energy (eV/atom) = -7.506

abc: 7.3720 7.3720 3.1556
angles: 90.00 90.00 90.00
Last column: nearest neighbours and their distance in Å.
Sites, in units of the cell vectors:
1 Zr 0.1830 0.3170 0.0000  6 Cu 2.62-2.76
2 Zr 0.3170 0.8170 0.0000  6 Cu 2.62-2.76
3 Zr 0.6830 0.1830 0.0000  6 Cu 2.62-2.76
4 Zr 0.8170 0.6830 0.0000  6 Cu 2.62-2.76
5 Cu 0.1167 0.6167 0.5000  1 Cu 2.43, 2 Zr 2.62
6 Cu 0.3833 0.1167 0.5000  1 Cu 2.43, 2 Zr 2.62
7 Cu 0.6167 0.8833 0.5000  1 Cu 2.43, 2 Zr 2.62
8 Cu 0.8833 0.3833 0.5000  1 Cu 2.43, 2 Zr 2.62
9 W 0.0000 0.0000 0.5000  4 Cu 2.95, 8 Zr 3.13, 2 W 3.16
10 W 0.5000 0.5000 0.5000  4 Cu 2.95, 8 Zr 3.13, 2 W 3.16

---

Record 6
ZrCu2W: optimized geometry, GGA-PBE.

- energy of formation from the pure elements (kJ per mole of atoms) = 21
- ΔE to the lowest computed polymorph (eV/atom) = 0.050
- density of states at the Fermi level (states/eV/f.u.) = 3.89
- energy (eV/atom) = -7.208

abc: 4.7960 4.7960 4.7960
angles: 130.61 130.61 72.44
Last column: nearest neighbours and their distance in Å.
Sites, in units of the cell vectors:
1 Zr 0.0000 0.0000 0.0000  8 Cu 2.79, 4 W 2.83
2 Cu 0.2500 0.7500 0.5000  4 W 2.79, 4 Zr 2.79, 4 Cu 2.83
3 Cu 0.7500 0.2500 0.5000  4 W 2.79, 4 Zr 2.79, 4 Cu 2.83
4 W 0.5000 0.5000 0.0000  8 Cu 2.79, 4 Zr 2.83

---

Record 7
ZrCu2W: optimized geometry, GGA-PBE.

- energy of formation from the pure elements (kJ per mole of atoms) = 35
- ΔE to the lowest computed polymorph (eV/atom) = 0.192
- density of states at the Fermi level (states/eV/f.u.) = 2.90
- energy (eV/atom) = -7.066

abc: 5.0693 2.6534 5.1419
angles: 90.00 112.64 90.00
Last column: nearest neighbours and their distance in Å.
Sites, in units of the cell vectors:
1 Zr 0.0000 0.0000 0.0000  2 Zr 2.65, 6 Cu 2.83-2.86, 4 W 2.89
2 Cu 0.5000 0.0000 0.5000  6 Cu 2.65-2.89, 2 Zr 2.83, 4 W 2.86
3 Cu 0.5000 0.5000 0.0000  6 Cu 2.65-2.89, 2 W 2.83, 4 Zr 2.86
4 W 0.0000 0.5000 0.5000  2 W 2.65, 6 Cu 2.83-2.86, 4 Zr 2.89

---

Record 8
Zr3CuW: optimized geometry, GGA-PBE.

- energy of formation from the pure elements (kJ per mole of atoms) = 95
- ΔE to the lowest computed polymorph (eV/atom) = 0.000
- density of states at the Fermi level (states/eV/f.u.) = 7.13
- energy (eV/atom) = -7.550

abc: 4.8113 4.8113 4.8113
angles: 90.00 90.00 90.00
Last column: nearest neighbours and their distance in Å.
Sites, in units of the cell vectors:
1 Zr 0.0000 0.0000 0.5000  2 Cu 2.41
2 Zr 0.0000 0.5000 0.0000  2 Cu 2.41
3 Zr 0.5000 0.0000 0.0000  2 Cu 2.41
4 Cu 0.0000 0.0000 0.0000  6 Zr 2.41
5 W 0.5000 0.5000 0.5000  12 Zr 3.40